[1]
Ba2Au | SCAN | PBEsol geometry

Lattice parameters (Å, degrees): 5.2183 8.6107 8.6107 120.00 90.00 90.00
With the nearest neighbours (Å) after each atom.
Atoms (fractional coordinates):
Ba (0.0000, 0.2614, 0.0000)  4 Au 3.22-3.45
Ba (0.0000, 0.0000, 0.2614)  4 Au 3.22-3.45
Au (0.0000, 0.3333, 0.6667)  3 Ba 3.22
Ba (0.0000, 0.7386, 0.7386)  4 Au 3.22-3.45
Au (0.5000, 0.0000, 0.0000)  9 Ba 3.45-3.47
Ba (0.5000, 0.4033, 0.4033)  5 Au 3.47-3.70
Ba (0.5000, 0.0000, 0.5967)  5 Au 3.47-3.70
Ba (0.5000, 0.5967, 0.0000)  5 Au 3.47-3.70
Au (0.0000, 0.6667, 0.3333)  3 Ba 3.22

Properties
Symmetry: P-62m, No. 189
ΔE_f, eV/atom: -0.563

[2]
BaSc2Br | SCAN | PBEsol geometry

Lattice parameters (Å, degrees): 3.4786 5.5245 6.0506 90.00 90.00 90.00
With the nearest neighbours (Å) after each atom.
Atoms (fractional coordinates):
Sc (0.5000, 0.5000, 0.0000)  6 Sc 3.26-3.48, 4 Br 3.49
Br (0.0000, 0.5000, 0.5000)  4 Ba 3.26, 2 Br 3.48, 4 Sc 3.49
Sc (0.0000, 0.0000, 0.0000)  6 Sc 3.26-3.48, 4 Ba 3.49
Ba (0.5000, 0.0000, 0.5000)  4 Br 3.26, 2 Ba 3.48, 4 Sc 3.49

Properties
Offset from the most stable computed form, kJ/mol of atoms: 0.00
Symmetry: Pmmm, No. 47